# Er4NiRh2

A relaxed Er4NiRh2 crystal (PBE-GGA, Alexandria via LeMat-Bulk).

Cell: 8.2726 8.2726 8.2726 Å, 33.45 33.45 33.45°
Closest atoms and distances in Å follow each position.
Fractional coordinates of all 7 atoms:
Er (0.1248, 0.1248, 0.1248)  1 Ni 2.92, 4 Rh 2.93-2.96
Er (0.3752, 0.3752, 0.3752)  4 Rh 2.90-2.91, 3 Ni 2.92
Er (0.6248, 0.6248, 0.6248)  4 Rh 2.90-2.91, 3 Ni 2.92
Er (0.8752, 0.8752, 0.8752)  1 Ni 2.92, 4 Rh 2.93-2.96
Ni (0.0000, 0.0000, 0.0000)  8 Er 2.92
Rh (0.2513, 0.2513, 0.2513)  8 Er 2.90-2.96
Rh (0.7487, 0.7487, 0.7487)  8 Er 2.90-2.96

The density of states at the Fermi level comes out at 2.77 states/eV/f.u. For the energy of formation, the calculation gives -680.9 meV/atom. The crystal system is trigonal. The total magnetization is 0.00 μB per formula unit.

***

# Ac3AlGa2Au6

A relaxed Ac3AlGa2Au6 crystal (PBE-GGA, Alexandria via LeMat-Bulk).

Cell: 6.5225 6.5225 8.3561 Å, 90.00 90.00 120.00°
Closest atoms and distances in Å follow each position.
Fractional coordinates of all 12 atoms:
Ac (0.0000, 0.0000, 0.0000)  6 Au 3.23
Ac (0.3333, 0.6667, 0.6501)  9 Au 3.29-3.40, 1 Ga 3.33
Ac (0.6667, 0.3333, 0.3499)  9 Au 3.29-3.40, 1 Ga 3.33
Al (0.0000, 0.0000, 0.5000)  6 Au 2.63
Ga (0.3333, 0.6667, 0.0488)  3 Au 2.72
Ga (0.6667, 0.3333, 0.9512)  3 Au 2.72
Au (0.1798, 0.3597, 0.3001)  1 Al 2.63, 1 Ga 2.72
Au (0.1798, 0.8202, 0.3001)  1 Al 2.63, 1 Ga 2.72
Au (0.3597, 0.1798, 0.6999)  1 Al 2.63, 1 Ga 2.72
Au (0.6403, 0.8202, 0.3001)  1 Al 2.63, 1 Ga 2.72
Au (0.8202, 0.1798, 0.6999)  1 Al 2.63, 1 Ga 2.72
Au (0.8202, 0.6403, 0.6999)  1 Al 2.63, 1 Ga 2.72

The density of states at the Fermi level comes out at 7.20 states/eV/f.u. For the energy of formation, the calculation gives -596.1 meV/atom. The crystal system is trigonal. The total magnetization is 0.00 μB per formula unit.

***

Q: Which value of total magnetization does entry 1 give?
A: 0.00 μB per formula unit

***

Q: Number 1 is which compound?
A: Er4NiRh2

***

Q: Which value of total magnetization does entry 2 give?
A: 0.00 μB per formula unit

***

Q: energy of formation of number 2 (Ac3AlGa2Au6)?
A: -596.1 meV/atom